No. 1
Material: AsAuBr2F
Method: DFT, PBEsol
State: relaxed

Calculated values
energy relative to the lowest polymorph listed for this composition: 0.62 eV per formula unit
size of the total moment: 0.05 μB/atom

Cell lengths 4.901, 5.131, 5.131 Å; angles 90.00, 90.00, 90.00 degrees
Each line ends with the local moment (μB).
Sites, in units of the cell vectors:
As: 0.500 0.000 0.000  -0.02
Au: 0.000 0.000 0.000  0.00
Br: 0.000 0.000 0.500  0.01
Br: 0.000 0.500 0.000  0.01
F: 0.500 0.500 0.500  0.22

***

No. 2
Material: InAs2AuBr
Method: DFT, PBEsol
State: relaxed

Calculated values
DFT total energy: -3.29 eV per atom
size of the total moment: 0.26 μB/atom

Cell lengths 4.972, 4.972, 5.460 Å; angles 90.00, 90.00, 90.00 degrees
Each line ends with the local moment (μB).
Sites, in units of the cell vectors:
As: 0.000 0.500 0.000  0.26
As: 0.500 0.000 0.000  0.26
Au: 0.000 0.000 0.000  0.07
Br: 0.000 0.000 0.500  0.07
In: 0.500 0.500 0.500  0.03

***

No. 3
Material: NaAs2AuBr
Method: DFT, PBEsol
State: relaxed

Calculated values
DFT total energy: -3.24 eV per atom
size of the total moment: 0.26 μB/atom

Cell lengths 4.847, 4.847, 6.388 Å; angles 90.00, 90.00, 90.00 degrees
Each line ends with the local moment (μB).
Sites, in units of the cell vectors:
Na: 0.500 0.500 0.500  0.00
As: 0.000 0.500 0.000  0.25
As: 0.500 0.000 0.000  0.25
Au: 0.000 0.000 0.000  0.11
Br: 0.000 0.000 0.500  0.09

***

No. 4
Material: NaAsAuBr2
Method: DFT, PBEsol
State: relaxed

Calculated values
DFT total energy: -2.93 eV per atom
size of the total moment: 0.27 μB/atom

Cell lengths 4.856, 5.505, 5.505 Å; angles 90.00, 90.00, 90.00 degrees
Each line ends with the local moment (μB).
Sites, in units of the cell vectors:
Na: 0.500 0.500 0.500  0.00
As: 0.500 0.000 0.000  0.50
Au: 0.000 0.000 0.000  0.08
Br: 0.000 0.000 0.500  0.06
Br: 0.000 0.500 0.000  0.06

***

No. 5
Material: NiAs2AuBr
Method: DFT, PBEsol
State: relaxed

Calculated values
DFT total energy: -3.91 eV per atom
size of the total moment: 0.00 μB/atom

Cell lengths 4.526, 4.526, 4.866 Å; angles 90.00, 90.00, 90.00 degrees
Sites, in units of the cell vectors:
Ni: 0.000 0.000 0.000
As: 0.000 0.500 0.000
As: 0.500 0.000 0.000
Au: 0.500 0.500 0.500
Br: 0.000 0.000 0.500

***

No. 6
Material: As2AuBrO
Method: DFT, PBEsol
State: relaxed

Calculated values
energy relative to the lowest polymorph listed for this composition: 3.94 eV per formula unit
size of the total moment: 0.18 μB/atom

Cell lengths 4.941, 4.941, 5.206 Å; angles 90.00, 90.00, 90.00 degrees
Each line ends with the local moment (μB).
Sites, in units of the cell vectors:
As: 0.000 0.500 0.000  -0.13
As: 0.500 0.000 0.000  -0.13
Au: 0.000 0.000 0.000  -0.01
O: 0.500 0.500 0.500  1.21
Br: 0.000 0.000 0.500  -0.02

***

No. 7
Material: As2AuBrO
Method: DFT, PBEsol
State: relaxed

Calculated values
energy relative to the lowest polymorph listed for this composition: 0.00 eV per formula unit
size of the total moment: 0.00 μB/atom

Cell lengths 4.052, 4.052, 5.997 Å; angles 90.00, 90.00, 90.00 degrees
Sites, in units of the cell vectors:
As: 0.000 0.500 0.000
As: 0.500 0.000 0.000
Au: 0.500 0.500 0.500
O: 0.000 0.000 0.000
Br: 0.000 0.000 0.500

***

No. 8
Material: Rb2AsAuBr6
Method: DFT, PBEsol
State: relaxed

Calculated values
DFT total energy: -3.10 eV per atom
size of the total moment: 0.00 μB/atom

Cell lengths 7.574, 7.574, 7.574 Å; angles 60.00, 60.00, 60.00 degrees
Sites, in units of the cell vectors:
As: 0.000 0.000 0.000
Au: 0.500 0.500 0.500
Br: 0.753 0.247 0.247
Br: 0.753 0.753 0.247
Br: 0.247 0.753 0.753
Br: 0.753 0.247 0.753
Br: 0.247 0.753 0.247
Br: 0.247 0.247 0.753
Rb: 0.750 0.750 0.750
Rb: 0.250 0.250 0.250

***

No. 9
Material: SbAsAuBr2
Method: DFT, PBEsol
State: relaxed

Calculated values
DFT total energy: -2.81 eV per atom
size of the total moment: 0.17 μB/atom

Cell lengths 5.295, 5.295, 5.583 Å; angles 90.00, 90.00, 90.00 degrees
Each line ends with the local moment (μB).
Sites, in units of the cell vectors:
Sb: 0.000 0.000 0.000  -0.01
As: 0.000 0.000 0.500  0.40
Au: 0.500 0.500 0.500  -0.02
Br: 0.000 0.500 0.000  0.02
Br: 0.500 0.000 0.000  0.02

***

No. 10
Material: ScAs2AuBr
Method: DFT, PBEsol
State: relaxed

Calculated values
DFT total energy: -4.25 eV per atom
size of the total moment: 0.00 μB/atom

Cell lengths 4.935, 5.117, 5.117 Å; angles 90.00, 90.00, 90.00 degrees
Sites, in units of the cell vectors:
Sc: 0.000 0.000 0.000
As: 0.000 0.000 0.500
As: 0.000 0.500 0.000
Au: 0.500 0.500 0.500
Br: 0.500 0.000 0.000

***

No. 11
Material: AsAuSe2Br
Method: DFT, PBEsol
State: relaxed

Calculated values
energy relative to the lowest polymorph listed for this composition: 2.69 eV per formula unit
size of the total moment: 0.00 μB/atom

Cell lengths 4.994, 4.994, 5.101 Å; angles 90.00, 90.00, 90.00 degrees
Sites, in units of the cell vectors:
As: 0.000 0.000 0.500
Au: 0.500 0.500 0.500
Se: 0.000 0.500 0.000
Se: 0.500 0.000 0.000
Br: 0.000 0.000 0.000

***

No. 12
Material: AsAuSe2Br
Method: DFT, PBEsol
State: relaxed

Calculated values
energy relative to the lowest polymorph listed for this composition: 0.00 eV per formula unit
size of the total moment: 0.00 μB/atom

Cell lengths 4.979, 4.979, 5.097 Å; angles 90.00, 90.00, 90.00 degrees
Sites, in units of the cell vectors:
As: 0.000 0.000 0.500
Au: 0.000 0.000 0.000
Se: 0.000 0.500 0.000
Se: 0.500 0.000 0.000
Br: 0.500 0.500 0.500

***

No. 13
Material: SrAs2AuBr
Method: DFT, PBEsol
State: relaxed

Calculated values
DFT total energy: -2.70 eV per atom
size of the total moment: 0.37 μB/atom

Cell lengths 5.509, 5.758, 5.758 Å; angles 90.00, 90.00, 90.00 degrees
Each line ends with the local moment (μB).
Sites, in units of the cell vectors:
Sr: 0.000 0.000 0.000  0.02
As: 0.000 0.000 0.500  0.39
As: 0.000 0.500 0.000  0.39
Au: 0.500 0.500 0.500  -0.03
Br: 0.500 0.000 0.000  0.10

***

No. 14
Material: TcAs2AuBr
Method: DFT, PBEsol
State: relaxed

Calculated values
DFT total energy: -4.84 eV per atom
size of the total moment: 0.00 μB/atom

Cell lengths 4.663, 4.663, 5.180 Å; angles 90.00, 90.00, 90.00 degrees
Sites, in units of the cell vectors:
As: 0.000 0.500 0.000
As: 0.500 0.000 0.000
Au: 0.500 0.500 0.500
Tc: 0.000 0.000 0.000
Br: 0.000 0.000 0.500

***

No. 15
Material: TeAs2AuBr
Method: DFT, PBEsol
State: relaxed

Calculated values
DFT total energy: -3.30 eV per atom
size of the total moment: 0.00 μB/atom

Cell lengths 4.964, 5.044, 5.044 Å; angles 90.00, 90.00, 90.00 degrees
Sites, in units of the cell vectors:
As: 0.000 0.000 0.500
As: 0.000 0.500 0.000
Te: 0.500 0.500 0.500
Au: 0.000 0.000 0.000
Br: 0.500 0.000 0.000